(1)
LuPaGa2 PBE optimized geometry; symmetry = P4/mmm; mass density = 10.28 g/cm3; energy relative to the lowest polymorph listed for this composition = 0.344 eV/f.u.; total moment = 0.00 μB/f.u.; DFT formation energy = -115.8 kJ/mol of formula units; DOS at the Fermi energy = 5.1 states/eV/f.u.
1.0
-2.997 2.646 0.729
-2.924 -3.533 0.801
1.155 0.066 4.509
Pa Lu Ga
1 1 2
Cartesian
-2.383 -0.410 3.020 Pa
-1.499 1.323 0.365 Lu
0.578 0.033 2.255 Ga
-1.462 -1.766 0.400 Ga

=====

(2)
Te3Ru4 PBE optimized geometry; symmetry = P6/mmm; mass density = 9.21 g/cm3; formation energy (no corrections) = 804 kJ/mol of formula units; energy relative to the lowest polymorph listed for this composition = 6.261 eV/f.u.; total moment = 0.62 μB/f.u.; DOS at the Fermi energy = 11.4 states/eV/f.u.
1.0
3.008 -5.210 0.000
3.008 5.210 0.000
0.000 0.000 4.526
Te Ru
3 4
Cartesian
1.504 2.605 0.000 Te
3.008 0.000 0.000 Te
1.504 -2.605 0.000 Te
0.000 0.000 1.162 Ru
0.000 0.000 3.364 Ru
3.008 -1.737 2.263 Ru
3.008 1.737 2.263 Ru

=====

(3)
Mg9Sc4In11 PBE optimized geometry; symmetry = Cmmm; mass density = 4.96 g/cm3; total moment = 1.79 μB/f.u.; DFT formation energy = -328.0 kJ/mol of formula units; DOS at the Fermi energy = 13.7 states/eV/f.u.
1.0
-1.122 -2.876 1.025
6.236 -6.156 -10.445
7.818 0.918 11.132
Mg Sc In
9 4 11
Cartesian
4.604 -5.047 -3.959 Mg
8.327 -3.066 5.671 Mg
5.299 -1.938 5.523 Mg
7.632 -6.175 -3.811 Mg
12.168 -5.456 3.169 Mg
0.763 -2.657 -1.458 Mg
11.869 -6.795 -0.915 Mg
1.063 -1.318 2.627 Mg
6.466 -4.056 0.856 Mg
9.027 -4.373 2.772 Sc
3.905 -3.740 -1.060 Sc
8.763 -5.551 -0.822 Sc
4.168 -2.562 2.534 Sc
11.196 -2.780 4.455 In
2.857 -2.458 -3.768 In
10.621 -5.351 -3.389 In
3.433 0.114 4.075 In
6.838 -3.464 -2.236 In
7.216 -1.773 2.922 In
6.535 -4.817 -6.360 In
7.518 -0.421 7.047 In
0.000 0.000 0.000 In
11.130 -4.148 0.544 In
2.924 -1.090 0.143 In

=====

(4)
Sc2CuSe PBE optimized geometry; symmetry = P4/mmm; mass density = 5.23 g/cm3; formation energy (no corrections) = -280 kJ/mol of formula units; total moment = 1.02 μB/f.u.; DOS at the Fermi energy = 3.1 states/eV/f.u.
1.0
-2.233 -2.545 -0.654
2.623 -2.210 -0.353
-0.285 -1.306 6.059
Cu Sc Se
1 2 1
Cartesian
-0.019 -3.358 4.040 Cu
-0.284 -1.299 6.026 Sc
-0.144 -0.660 3.062 Sc
0.124 -2.704 1.011 Se